# Ta2Cu2Ni15

A geometry-optimized Ta2Cu2Ni15 structure (GGA-PBE, Alexandria).

Summary:
E_form: -0.0042 eV per atom
spin magnetization: 2.59 Bohr magnetons per cell
density of states at the Fermi level: 24.439 states/eV/cell

Cell lengths 6.1450, 6.1450, 6.1450 Å; angles 82.00, 82.00, 82.00 degrees
Sites, in units of the cell vectors:
Ta: 0.1459 0.1459 0.1459
Ta: 0.8541 0.8541 0.8541
Cu: 0.3997 0.3997 0.3997
Cu: 0.6003 0.6003 0.6003
Ni: 0.0000 0.5000 0.5000
Ni: 0.1562 0.1562 0.6680
Ni: 0.1562 0.6680 0.1562
Ni: 0.1787 0.5000 0.8213
Ni: 0.1787 0.8213 0.5000
Ni: 0.3320 0.8438 0.8438
Ni: 0.5000 0.0000 0.5000
Ni: 0.5000 0.1787 0.8213
Ni: 0.5000 0.5000 0.0000
Ni: 0.5000 0.8213 0.1787
Ni: 0.6680 0.1562 0.1562
Ni: 0.8213 0.1787 0.5000
Ni: 0.8213 0.5000 0.1787
Ni: 0.8438 0.3320 0.8438
Ni: 0.8438 0.8438 0.3320